Entry 1:
The following is a DFT calculation (GGA-PBE) of a relaxed Rb2VPb crystal.

Unit cell a=9.915 b=9.915 c=9.915 alpha=94.16 beta=94.16 gamma=148.75
Fractional positions:
Rb: 0.375 0.065 0.190
Rb: 0.815 0.625 0.690
Rb: 0.875 0.185 0.810
Rb: 0.935 0.125 0.310
V: 0.000 0.000 0.000
V: 0.750 0.250 0.500
Pb: 0.250 0.750 0.500
Pb: 0.500 0.500 0.000

**N(E_F)**: 1.643 states/eV/atom
**Density**: 2.926 g cm⁻³
**Volume**: 60.9 Å³/atom
**Energy**: -24.38 eV for the cell shown
**Energy relative to the elements**: 0.644 eV/atom

=====

Entry 2:
The following is a DFT calculation (GGA-PBE) of a relaxed Ho6TeSe3S2 crystal.

Unit cell a=9.062 b=9.062 c=8.177 alpha=103.25 beta=103.25 gamma=25.67
Fractional positions:
Ho: 0.013 0.013 0.276
Ho: 0.325 0.325 0.885
Ho: 0.329 0.329 0.429
Ho: 0.671 0.671 0.571
Ho: 0.675 0.675 0.115
Ho: 0.987 0.987 0.724
Te: 0.500 0.500 0.000
Se: 0.161 0.161 0.836
Se: 0.500 0.500 0.500
Se: 0.839 0.839 0.164
S: 0.171 0.171 0.341
S: 0.829 0.829 0.659

**N(E_F)**: 0.434 states/eV/atom
**Density**: 8.330 g cm⁻³
**Volume**: 23.6 Å³/atom
**Energy**: -69.76 eV for the cell shown

=====

Entry 3:
The following is a DFT calculation (GGA-PBE) of a relaxed CsKInI3 crystal.

Unit cell a=10.001 b=5.008 c=13.123 alpha=90.00 beta=106.32 gamma=90.00
Fractional positions:
Cs: 0.237 0.250 0.211
Cs: 0.763 0.750 0.789
K: 0.158 0.750 0.647
K: 0.842 0.250 0.353
In: 0.396 0.250 0.956
In: 0.604 0.750 0.044
I: 0.097 0.750 0.372
I: 0.175 0.750 0.935
I: 0.430 0.250 0.732
I: 0.570 0.750 0.268
I: 0.825 0.250 0.065
I: 0.903 0.250 0.628

**N(E_F)**: 0.000 states/eV/atom
**Density**: 3.515 g cm⁻³
**Volume**: 52.6 Å³/atom
**Energy**: -32.27 eV for the cell shown

=====

Entry 4:
The following is a DFT calculation (GGA-PBE) of a relaxed Ac2Zn2Ga3 crystal.

Unit cell a=11.826 b=11.826 c=3.670 alpha=90.00 beta=90.00 gamma=159.75
Fractional positions:
Ac: 0.145 0.855 0.000
Ac: 0.855 0.145 0.000
Zn: 0.277 0.723 0.500
Zn: 0.723 0.277 0.500
Ga: 0.000 0.000 0.000
Ga: 0.444 0.556 0.500
Ga: 0.556 0.444 0.500

**Offset from the most stable computed form**: 284 meV/atom
**N(E_F)**: 0.756 states/eV/atom
**Density**: 7.421 g cm⁻³
**Volume**: 25.4 Å³/atom
**Energy**: -21.25 eV for the cell shown
**Energy relative to the elements**: -0.200 eV/atom

=====

Entry 5:
The following is a DFT calculation (GGA-PBE) of a relaxed BaNaZn crystal.

Unit cell a=6.770 b=6.770 c=6.770 alpha=144.40 beta=144.40 gamma=51.23
Fractional positions:
Ba: 0.000 0.000 0.000
Na: 0.283 0.283 0.000
Zn: 0.656 0.656 0.000

**Offset from the most stable computed form**: 107 meV/atom
**N(E_F)**: 0.811 states/eV/atom
**Density**: 3.583 g cm⁻³
**Volume**: 34.9 Å³/atom
**Energy**: -4.54 eV for the cell shown
**Energy relative to the elements**: -0.009 eV/atom

=====

Entry 6:
The following is a DFT calculation (GGA-PBE) of a relaxed TeMoRh2 crystal.

Unit cell a=2.932 b=4.530 c=4.936 alpha=90.00 beta=90.08 gamma=90.00
Fractional positions:
Te: 0.000 0.000 0.000
Mo: 0.996 0.500 0.356
Rh: 0.497 0.000 0.512
Rh: 0.499 0.500 0.838

**N(E_F)**: 0.962 states/eV/atom
**Density**: 10.874 g cm⁻³
**Volume**: 16.4 Å³/atom
**Energy**: -28.15 eV for the cell shown